Compound: CeZnInAg
Source: Alexandria via LeMat-Bulk
Functional: PBE
Structure: relaxed

abc: 4.986 4.986 4.986
angles: 60.00 60.00 60.00
Last column: magnetic moment on the atom in μB.
Element x y z (fractional)
Ce (0.000, 0.000, 0.000)  0.61
In (0.500, 0.500, 0.500)  0.00
Zn (0.750, 0.750, 0.750)  0.00
Ag (0.250, 0.250, 0.250)  0.00

Energy in eV/atom: -3.49
DFT formation energy in eV per atom: -0.29
Crystal system: cubic

Compound: Ce2AgIr2
Source: Alexandria via LeMat-Bulk
Functional: PBE
Structure: relaxed

abc: 4.667 5.369 5.369
angles: 65.72 64.24 64.24
Element x y z (fractional)
Ag (0.500, 0.500, 0.000)
Ce (0.312, 0.188, 0.688)
Ce (0.688, 0.812, 0.312)
Ir (0.000, 0.759, 0.741)
Ir (0.000, 0.241, 0.259)

Energy in eV/atom: -7.05
DFT formation energy in eV per atom: -0.56
Crystal system: orthorhombic

> What is the DFT formation energy in the first record?

-0.29 eV per atom

> Which value of energy does entry 2 give?

-7.05 eV/atom